# 1
Compound: ZnIrSCl2
Source: Alexandria via LeMat-Bulk
Functional: PBE-GGA
Structure: optimized geometry

Output
size of the total moment	0.00	μB per formula unit
energy above the most stable polymorph in this dataset	0.000	eV per atom
total energy	-0.2518	Ry per atom
raw formation energy	0.1655	eV per atom
volume	22.3	A^3/atom
symmetry	P4/mmm (123)

CIF file:
```
data_ZnIrSCl2
_chemical_formula_sum 'Zn1 Ir1 S1 Cl2'
_space_group_name_H-M_alt 'P 1'
_space_group_IT_number 1
_cell_length_a 4.9994
_cell_length_b 4.9994
_cell_length_c 4.4548
_cell_angle_alpha 90.00
_cell_angle_beta 90.00
_cell_angle_gamma 90.00
loop_
_space_group_symop_operation_xyz
'x,y,z'
loop_
_atom_site_label
_atom_site_type_symbol
_atom_site_fract_x
_atom_site_fract_y
_atom_site_fract_z
_atom_site_occupancy
Zn1 Zn 0.0000 0.0000 0.0000 1
Ir1 Ir 0.5000 0.5000 0.5000 1
S1 S 0.5000 0.5000 0.0000 1
Cl1 Cl 0.0000 0.5000 0.5000 1
Cl2 Cl 0.5000 0.0000 0.5000 1
```

# 2
Compound: HoMg2BiO6
Source: Alexandria via LeMat-Bulk
Functional: PBE-GGA
Structure: optimized geometry

Output
size of the total moment	0.00	μB per formula unit
total energy	-0.4720	Ry per atom
raw formation energy	-2.2822	eV per atom
volume	12.6	A^3/atom
symmetry	R3 (146)

CIF file:
```
data_HoMg2BiO6
_chemical_formula_sum 'Ho1 Mg2 Bi1 O6'
_space_group_name_H-M_alt 'P 1'
_space_group_IT_number 1
_cell_length_a 5.8069
_cell_length_b 5.8069
_cell_length_c 5.8069
_cell_angle_alpha 56.11
_cell_angle_beta 56.11
_cell_angle_gamma 56.11
loop_
_space_group_symop_operation_xyz
'x,y,z'
loop_
_atom_site_label
_atom_site_type_symbol
_atom_site_fract_x
_atom_site_fract_y
_atom_site_fract_z
_atom_site_occupancy
Ho1 Ho 0.0000 0.0000 0.0000 1
Mg1 Mg 0.2826 0.2826 0.2826 1
Mg2 Mg 0.7851 0.7851 0.7851 1
Bi1 Bi 0.4895 0.4895 0.4895 1
O1 O 0.0826 0.6666 0.4160 1
O2 O 0.1867 0.5778 0.8929 1
O3 O 0.4160 0.0826 0.6666 1
O4 O 0.5778 0.8929 0.1867 1
O5 O 0.6666 0.4160 0.0826 1
O6 O 0.8929 0.1867 0.5778 1
```

# 3
Compound: CeHfIr2
Source: Alexandria via LeMat-Bulk
Functional: PBE-GGA
Structure: optimized geometry

Output
size of the total moment	0.00	μB per formula unit
total energy	-0.6782	Ry per atom
formation energy from the elements	-80	kJ per mole of atoms
volume	19.0	A^3/atom
symmetry	P4/mmm (123)

CIF file:
```
data_CeHfIr2
_chemical_formula_sum 'Ce1 Hf1 Ir2'
_space_group_name_H-M_alt 'P 1'
_space_group_IT_number 1
_cell_length_a 3.1468
_cell_length_b 3.1468
_cell_length_c 7.6881
_cell_angle_alpha 90.00
_cell_angle_beta 90.00
_cell_angle_gamma 90.00
loop_
_space_group_symop_operation_xyz
'x,y,z'
loop_
_atom_site_label
_atom_site_type_symbol
_atom_site_fract_x
_atom_site_fract_y
_atom_site_fract_z
_atom_site_occupancy
Ce1 Ce 0.0000 0.0000 0.0000 1
Hf1 Hf 0.0000 0.0000 0.5000 1
Ir1 Ir 0.5000 0.5000 0.2837 1
Ir2 Ir 0.5000 0.5000 0.7163 1
```